A geometry-optimized ZnCrRh2 structure. Source: Alexandria via LeMat-Bulk, functional PBE-GGA. Values from VASP.

```
&SYSTEM
  ibrav = 0, nat = 8, ntyp = 3
/
ATOMIC_SPECIES
Cr 52.00 Cr.upf
Zn 65.41 Zn.upf
Rh 102.91 Rh.upf
ATOMIC_POSITIONS crystal
Cr 0.500 0.500 0.000
Cr 0.250 0.750 0.500
Zn 0.000 0.000 0.000
Zn 0.750 0.250 0.500
Rh 0.601 0.125 0.250
Rh 0.149 0.625 0.250
Rh 0.375 0.399 0.750
Rh 0.875 0.851 0.750
CELL_PARAMETERS angstrom
-1.006 5.843 3.075
-4.640 1.587 -4.533
-4.734 2.568 0.825
```

Properties
ΔH_f (0 K) ... 0.260 eV/atom
Spin magnetization ... 1.9 μB per formula unit